SrLiNiO3: relaxed, PBE+U.

As for the total magnetic moment: 3.0 μB per formula unit. For the energy, the calculation gives -5.0488 eV/atom.

CIF file:
```
data_SrLiNiO3
_chemical_formula_sum 'Sr2 Li2 Ni2 O6'
_space_group_name_H-M_alt 'P 1'
_space_group_IT_number 1
_cell_length_a 5.4785
_cell_length_b 5.4785
_cell_length_c 6.2881
_cell_angle_alpha 109.81
_cell_angle_beta 109.81
_cell_angle_gamma 71.11
loop_
_space_group_symop_operation_xyz
'x,y,z'
loop_
_atom_site_label
_atom_site_type_symbol
_atom_site_fract_x
_atom_site_fract_y
_atom_site_fract_z
Sr1 Sr 0.1985 0.1985 0.1397
Sr2 Sr 0.8015 0.8015 0.8603
Li1 Li 0.1705 0.8295 0.5000
Li2 Li 0.8295 0.1705 0.5000
Ni1 Ni 0.4187 0.4187 0.7355
Ni2 Ni 0.5813 0.5813 0.2645
O1 O 0.2084 0.2084 0.5605
O2 O 0.2192 0.6702 0.1903
O3 O 0.3298 0.7808 0.8097
O4 O 0.6702 0.2192 0.1903
O5 O 0.7808 0.3298 0.8097
O6 O 0.7916 0.7916 0.4395
```